PmMg2Au: optimized geometry, GGA-PBE.

Cell and atoms, written as extended XYZ:
```
4
Lattice="5.0443 0.0002 0.0002 2.5223 4.3684 0.0002 2.5223 1.4563 4.1194" Properties=species:S:1:pos:R:3 pbc="T T T"
Pm 5.0445 2.9124 2.0595
Mg 7.5667 4.3686 0.0004
Mg 2.5223 1.4563 1.0286
Au 7.5665 4.3685 3.0913
```

Results
Excess energy over the best structure of this formula in the dataset (eV per atom): 0.078
Energy relative to the elements (eV/atom): -0.435
Total energy (eV per atom): -3.2393
Spin magnetization (Bohr magnetons per cell): 0.00

=====

SbSeBrN2: optimized geometry, GGA-PBE.

Cell and atoms, written as extended XYZ:
```
5
Lattice="4.0011 0.0000 0.0000 0.0000 4.0011 0.0000 0.0000 0.0000 6.2775" Properties=species:S:1:pos:R:3 pbc="T T T"
Sb 0.0000 0.0000 0.0000
Se 0.0000 0.0000 3.1387
Br 2.0006 2.0006 3.1387
N 0.0000 2.0006 0.0000
N 2.0006 0.0000 0.0000
```

Results
Excess energy over the best structure of this formula in the dataset (eV per atom): 0.000
Formation energy (no corrections) (meV per atom): 1258
Total energy (eV per atom): -3.9282
Spin magnetization (Bohr magnetons per cell): 0.83

=====

CaSbP2Os: optimized geometry, GGA-PBE.

Cell and atoms, written as extended XYZ:
```
5
Lattice="-3.4986 -2.7896 -0.5325 1.8131 -1.1876 -5.6907 2.5031 -3.4281 1.5129" Properties=species:S:1:pos:R:3 pbc="T T T"
Sb 0.9065 -0.5938 -2.8453
Ca 0.4088 -3.7026 -2.3551
Os 0.0000 0.0000 0.0000
P 1.2515 -1.7140 0.7564
P -1.7493 -1.3948 -0.2663
```

Results
Formation energy (no corrections) (meV per atom): 52
Total energy (eV per atom): -5.5830
Spin magnetization (Bohr magnetons per cell): 0.00

=====

CeEuRuPt: optimized geometry, GGA-PBE.

Cell and atoms, written as extended XYZ:
```
4
Lattice="-0.6872 1.9567 4.5121 -3.5789 -1.7676 2.9541 1.1896 -2.6174 4.0489" Properties=species:S:1:pos:R:3 pbc="T T T"
Eu -1.5382 -1.2141 5.7575
Ru -0.7691 -0.6071 2.8788
Ce 0.0000 0.0000 0.0000
Pt -2.3074 -1.8212 8.6363
```

Results
Energy relative to the elements (eV/atom): -0.473
Total energy (eV per atom): -8.3541
Spin magnetization (Bohr magnetons per cell): 6.70

=====

Cs3Tb2InSe6: optimized geometry, GGA-PBE.

Cell and atoms, written as extended XYZ:
```
12
Lattice="7.3755 -0.0005 -0.0008 -3.6864 6.3882 -0.0008 -1.2310 -2.1315 8.3826" Properties=species:S:1:pos:R:3 pbc="T T T"
Cs -2.4369 4.2453 4.1905
Cs 4.8950 0.0108 4.1905
Cs 1.2291 2.1281 4.1905
Tb 0.0044 4.2566 -0.0008
Tb 3.6847 2.1311 -0.0008
In 0.0000 0.0000 0.0000
Se 3.6638 2.1675 6.8384
Se 2.4804 4.2948 1.5542
Se -1.2057 2.0887 1.5426
Se 0.0464 4.2566 6.8384
Se -0.0223 -0.0387 6.8268
Se 2.4117 -0.0004 1.5426
```

Results
Formation energy (no corrections) (meV per atom): -1401
Total energy (eV per atom): -4.3561
Spin magnetization (Bohr magnetons per cell): 0.00

=====

MnInAg2Se4: optimized geometry, GGA-PBE.

Cell and atoms, written as extended XYZ:
```
8
Lattice="-2.8518 -0.4442 5.3314 5.0406 -2.2473 2.5083 0.6413 6.7804 -2.5390" Properties=species:S:1:pos:R:3 pbc="T T T"
Mn 1.9129 1.2174 4.5716
In 0.2608 5.0591 4.0076
Ag 4.2065 4.1576 2.5953
Ag 0.8192 2.5640 0.6513
Se 1.8027 3.1440 3.0485
Se -0.3622 0.3534 4.9156
Se 3.3655 -0.4948 3.5718
Se 0.6584 4.5616 -1.0902
```

Results
Formation energy (no corrections) (meV per atom): -330
Total energy (eV per atom): -4.2731
Spin magnetization (Bohr magnetons per cell): 4.00

=====

Tb2HgI: optimized geometry, GGA-PBE.

Cell and atoms, written as extended XYZ:
```
4
Lattice="-0.2401 -0.4086 -3.8207 -0.3287 -3.5116 -1.5435 -9.2221 -0.6815 -1.2873" Properties=species:S:1:pos:R:3 pbc="T T T"
Tb -7.0369 -0.8328 -1.4084
Tb -2.3720 -1.1557 -1.6671
Hg -9.5984 -3.2952 -4.8635
I -4.9010 -2.3005 -3.3254
```

Results
Excess energy over the best structure of this formula in the dataset (eV per atom): 0.000
Formation energy (no corrections) (meV per atom): -579
Total energy (eV per atom): -3.3568
Spin magnetization (Bohr magnetons per cell): 0.00

=====

SrAc2Se4: optimized geometry, GGA-PBE.

Cell and atoms, written as extended XYZ:
```
14
Lattice="8.1314 -0.0041 0.0070 -2.7130 7.6655 -0.0070 -2.7054 -3.8334 6.6412" Properties=species:S:1:pos:R:3 pbc="T T T"
Sr 0.0000 0.0000 0.0000
Sr 4.0657 2.8713 1.6621
Ac 5.4479 -0.9796 3.2956
Ac 1.3822 0.5116 4.1516
Ac -1.3784 3.8482 5.0077
Ac -0.0257 4.2758 0.8275
Se -2.4278 5.4451 2.5056
Se 1.6137 3.7420 3.4617
Se 4.3509 1.8062 4.8415
Se -0.8282 -1.4330 5.7906
Se 2.9664 5.6675 0.1462
Se 3.2375 -1.4261 5.7992
Se 3.0027 -0.1049 1.5158
Se -1.0630 1.6153 2.5040
```

Results
Formation energy (no corrections) (meV per atom): -2064
Total energy (eV per atom): -5.4690
Spin magnetization (Bohr magnetons per cell): 0.00

=====

NdEu2Sc: optimized geometry, GGA-PBE.

Cell and atoms, written as extended XYZ:
```
4
Lattice="-1.3567 -4.6860 1.9889 4.5865 -1.8427 -1.2130 1.7746 1.4192 4.5541" Properties=species:S:1:pos:R:3 pbc="T T T"
Eu 0.8873 0.7096 2.2770
Eu 2.2933 -0.9214 -0.6065
Sc 2.5022 -2.5547 2.6650
Nd -0.6783 -2.3430 0.9945
```

Results
Excess energy over the best structure of this formula in the dataset (eV per atom): 0.011
Energy relative to the elements (eV/atom): 0.163
Total energy (eV per atom): -7.7491
Spin magnetization (Bohr magnetons per cell): 15.11

=====

TaNi2B2: optimized geometry, GGA-PBE.

Cell and atoms, written as extended XYZ:
```
10
Lattice="3.1820 0.0000 0.0000 0.0000 3.6780 -0.0041 0.0000 -0.9154 8.5158" Properties=species:S:1:pos:R:3 pbc="T T T"
Ta 0.7955 2.2715 2.1087
Ta 2.3865 0.4911 6.4031
Ni 0.7955 2.3518 7.5998
Ni 2.3865 0.4108 0.9120
Ni 0.7955 0.4579 4.2019
Ni 2.3865 2.3047 4.3099
B 0.7955 2.3063 5.5847
B 2.3865 0.4564 2.9270
B 0.7955 0.5158 8.3526
B 2.3865 2.2468 0.1592
```

Results
Energy relative to the elements (eV/atom): -0.440
Total energy (eV per atom): -7.7944
Spin magnetization (Bohr magnetons per cell): 0.00

=====

CeNd2Ni9: optimized geometry, GGA-PBE.

Cell and atoms, written as extended XYZ:
```
12
Lattice="-4.8194 -0.6479 -1.1559 -1.2740 -2.8862 -3.8768 -2.3476 -7.7828 3.3436" Properties=species:S:1:pos:R:3 pbc="T T T"
Ce 0.0000 0.0000 0.0000
Nd -6.2249 -6.2771 -2.9474
Nd -2.2162 -5.0398 1.2583
Ni -6.4095 -10.1305 -0.0178
Ni -2.0315 -1.1864 -1.6712
Ni -4.2205 -5.6585 -0.8445
Ni -3.1260 -3.3680 -1.3026
Ni -5.5294 -3.6911 -1.8791
Ni -3.7613 -4.8074 -3.2359
Ni -5.3150 -7.9489 -0.3865
Ni -4.6797 -6.5096 1.5469
Ni -2.9116 -7.6258 0.1900
```

Results
Energy relative to the elements (eV/atom): -0.333
Total energy (eV per atom): -5.9581
Spin magnetization (Bohr magnetons per cell): 0.00

=====

BeInS3: optimized geometry, GGA-PBE.

Cell and atoms, written as extended XYZ:
```
5
Lattice="-1.0827 -4.7486 0.9845 -0.8498 -0.8073 -4.8287 4.7745 -1.2205 -0.6362" Properties=species:S:1:pos:R:3 pbc="T T T"
Be 1.4210 -3.3882 -2.2403
S -0.4249 -0.4036 -2.4144
S 2.3873 -0.6103 -0.3181
S -0.5414 -2.3743 0.4922
In 0.0000 0.0000 0.0000
```

Results
Excess energy over the best structure of this formula in the dataset (eV per atom): 0.831
Formation energy (no corrections) (meV per atom): 970
Total energy (eV per atom): -2.7997
Spin magnetization (Bohr magnetons per cell): 0.00